An optimized crystal structure of YCr2Cl. Source: Alexandria, functional PBE.

Values from the calculation:
Total magnetization (μB per atom): 2.48
Mass density (g/cm3): 4.02
Energy relative to the elements, uncorrected (eV per formula unit): 3.33
DFT total energy (eV per formula unit): -24.2

a = 7.2279 Å, b = 7.2279 Å, c = 7.2279 Å
α = 90.00°, β = 90.00°, γ = 90.00°
Space group Fm-3m (No. 225)
Asymmetric unit:
Y 0.0000 0.0000 0.0000 [4 per cell]
Cr 0.2500 0.2500 0.2500 [8 per cell]
Cl 0.0000 0.0000 0.5000 [4 per cell]